A plane-wave DFT calculation with SCAN was carried out for SrCoI2N at its PBEsol-relaxed geometry.

* energy relative to the elements, uncorrected: -234.5 meV per atom
* theoretical density: 6.188 g/cm3
* space group: No. 123

abc: 3.594 5.563 5.563
angles: 90.00 90.00 90.00
Positions (direct):
Sr (0.500, 0.500, 0.500)
I (0.000, 0.000, 0.500)
I (0.000, 0.500, 0.000)
Co (0.000, 0.000, 0.000)
N (0.500, 0.000, 0.000)



A plane-wave DFT calculation with SCAN was carried out for TlCoI2N at its PBEsol-relaxed geometry.

* energy relative to the elements, uncorrected: 1366.8 meV per atom
* theoretical density: 6.049 g/cm3
* space group: No. 123

abc: 4.028 6.016 6.016
angles: 90.00 90.00 90.00
Each line ends with the local moment (μB).
Positions (direct):
Tl (0.000, 0.000, 0.000)  -0.02
Co (0.500, 0.500, 0.500)  2.50
N (0.500, 0.000, 0.000)  0.71
I (0.000, 0.500, 0.000)  0.06
I (0.000, 0.000, 0.500)  0.06



A plane-wave DFT calculation with SCAN was carried out for CoWIN2 at its PBEsol-relaxed geometry.

* energy relative to the elements, uncorrected: 1943.5 meV per atom
* theoretical density: 9.352 g/cm3
* space group: No. 123

abc: 3.799 3.799 4.893
angles: 90.00 90.00 90.00
Each line ends with the local moment (μB).
Positions (direct):
Co (0.000, 0.000, 0.000)  -0.61
W (0.500, 0.500, 0.500)  2.52
I (0.000, 0.000, 0.500)  -0.06
N (0.500, 0.000, 0.000)  -0.84
N (0.000, 0.500, 0.000)  -0.84



A plane-wave DFT calculation with SCAN was carried out for NaCo3I at its PBEsol-relaxed geometry.

* energy relative to the elements, uncorrected: 1254.5 meV per atom
* theoretical density: 5.511 g/cm3
* space group: No. 221

abc: 4.617 4.617 4.617
angles: 90.00 90.00 90.00
Each line ends with the local moment (μB).
Positions (direct):
Co (0.000, 0.000, 0.500)  1.22
Co (0.000, 0.500, 0.000)  1.22
Co (0.500, 0.000, 0.000)  1.22
I (0.000, 0.000, 0.000)  -0.06
Na (0.500, 0.500, 0.500)  -0.02



A plane-wave DFT calculation with SCAN was carried out for Na3CoI at its PBEsol-relaxed geometry.

* energy relative to the elements, uncorrected: 338.7 meV per atom
* theoretical density: 2.630 g/cm3
* space group: No. 221

abc: 5.439 5.439 5.439
angles: 90.00 90.00 90.00
Each line ends with the local moment (μB).
Positions (direct):
Na (0.500, 0.000, 0.000)  -0.01
Na (0.000, 0.500, 0.000)  -0.01
Na (0.000, 0.000, 0.500)  -0.01
I (0.500, 0.500, 0.500)  0.00
Co (0.000, 0.000, 0.000)  1.78



A plane-wave DFT calculation with SCAN was carried out for NaCoI2 at its PBEsol-relaxed geometry.

* energy relative to the elements, uncorrected: 67.9 meV per atom
* theoretical density: 5.653 g/cm3
* space group: No. 225

abc: 5.186 5.186 5.186
angles: 60.00 60.00 60.00
Each line ends with the local moment (μB).
Positions (direct):
Na (0.000, 0.000, 0.000)  0.01
I (0.250, 0.250, 0.250)  0.07
I (0.750, 0.750, 0.750)  0.07
Co (0.500, 0.500, 0.500)  2.17



A plane-wave DFT calculation with SCAN was carried out for NaCoSbI2 at its PBEsol-relaxed geometry.

* energy relative to the elements, uncorrected: -39.6 meV per atom
* theoretical density: 5.264 g/cm3
* space group: No. 123

abc: 4.664 5.562 5.562
angles: 90.00 90.00 90.00
Positions (direct):
I (0.000, 0.000, 0.500)
I (0.000, 0.500, 0.000)
Na (0.500, 0.500, 0.500)
Sb (0.500, 0.000, 0.000)
Co (0.000, 0.000, 0.000)



A plane-wave DFT calculation with SCAN was carried out for NaCoTeI2 at its PBEsol-relaxed geometry.

* energy relative to the elements, uncorrected: 700.7 meV per atom
* theoretical density: 4.456 g/cm3
* space group: No. 123

abc: 5.566 5.566 5.573
angles: 90.00 90.00 90.00
Each line ends with the local moment (μB).
Positions (direct):
Te (0.000, 0.000, 0.500)  -0.70
I (0.500, 0.000, 0.000)  -0.15
I (0.000, 0.500, 0.000)  -0.15
Na (0.000, 0.000, 0.000)  -0.01
Co (0.500, 0.500, 0.500)  2.57



A plane-wave DFT calculation with SCAN was carried out for NbCo3I at its PBEsol-relaxed geometry.

* energy relative to the elements, uncorrected: 1618.5 meV per atom
* theoretical density: 7.590 g/cm3
* space group: No. 221

abc: 4.427 4.427 4.427
angles: 90.00 90.00 90.00
Each line ends with the local moment (μB).
Positions (direct):
Co (0.000, 0.500, 0.000)  -1.05
Co (0.500, 0.000, 0.000)  -1.05
Co (0.000, 0.000, 0.500)  -1.05
Nb (0.500, 0.500, 0.500)  1.67
I (0.000, 0.000, 0.000)  0.10



A plane-wave DFT calculation with SCAN was carried out for SrNbCoI2 at its PBEsol-relaxed geometry.

* energy relative to the elements, uncorrected: 195.4 meV per atom
* theoretical density: 5.917 g/cm3
* space group: No. 123

abc: 4.526 5.530 5.530
angles: 90.00 90.00 90.00
Each line ends with the local moment (μB).
Positions (direct):
Sr (0.500, 0.500, 0.500)  0.00
Nb (0.000, 0.000, 0.000)  0.53
I (0.000, 0.000, 0.500)  0.01
I (0.000, 0.500, 0.000)  0.01
Co (0.500, 0.000, 0.000)  1.12



A plane-wave DFT calculation with SCAN was carried out for Nd2Co2I at its PBEsol-relaxed geometry.

* energy relative to the elements, uncorrected: -535.4 meV per atom
* theoretical density: 7.683 g/cm3
* space group: No. 194

abc: 3.916 3.916 17.361
angles: 90.00 90.00 120.00
Each line ends with the local moment (μB).
Positions (direct):
Nd (0.000, 0.000, 0.393)  -0.07
Nd (0.000, 0.000, 0.607)  -0.07
Nd (0.000, 0.000, 0.893)  -0.07
Nd (0.000, 0.000, 0.107)  -0.07
I (0.333, 0.667, 0.250)  0.00
I (0.667, 0.333, 0.750)  0.00
Co (0.333, 0.667, 0.500)  0.42
Co (0.333, 0.667, 0.000)  0.42
Co (0.667, 0.333, 0.000)  0.42
Co (0.667, 0.333, 0.500)  0.42



A plane-wave DFT calculation with SCAN was carried out for CoNiIO2 at its PBEsol-relaxed geometry.

* energy relative to the elements, uncorrected: -119.0 meV per atom
* theoretical density: 6.220 g/cm3
* space group: No. 123

abc: 3.561 3.561 5.822
angles: 90.00 90.00 90.00
Each line ends with the local moment (μB).
Positions (direct):
O (0.500, 0.000, 0.000)  0.49
O (0.000, 0.500, 0.000)  0.49
Co (0.000, 0.000, 0.000)  1.93
Ni (0.500, 0.500, 0.500)  0.81
I (0.000, 0.000, 0.500)  0.13